BaPdCl2 | PBE-GGA | optimized geometry

Lattice parameters (Å, degrees): 5.1931 5.1931 5.1931 60.00 60.00 60.00
Atoms (fractional coordinates):
Ba1 0.5000 0.5000 0.5000
Pd1 0.0000 0.0000 0.0000
Cl1 0.2500 0.2500 0.2500
Cl2 0.7500 0.7500 0.7500

Summary:
The calculation puts the spin magnetization at 0.0 Bohr magnetons per cell. The formation energy from raw total energies comes out at -1294 meV/atom. For the density of states at the Fermi level, the calculation gives 0.00 states/eV per cell. The calculation puts the energy above the most stable polymorph in this dataset at 0.33 eV/f.u. As for the space group: Fm-3m, No. 225.

Ba2Pd2Cl | PBE-GGA | optimized geometry

Lattice parameters (Å, degrees): 4.6345 4.6345 8.9032 90.02 105.05 120.03
Atoms (fractional coordinates):
Ba1 0.8409 0.4202 0.2611
Ba2 0.1591 0.5798 0.7389
Pd1 0.3357 0.1679 0.5037
Pd2 0.6643 0.8321 0.4963
Cl1 0.0000 0.0000 0.0000

Summary:
The calculation puts the spin magnetization at 0.0 Bohr magnetons per cell. The formation energy from raw total energies comes out at -1145 meV/atom. For the density of states at the Fermi level, the calculation gives 2.00 states/eV per cell. The calculation puts the energy above the most stable polymorph in this dataset at 0.00 eV/f.u. As for the space group: R-3m, No. 166.

BaPdCl6 | PBE-GGA | optimized geometry

Lattice parameters (Å, degrees): 6.5752 6.6024 7.1701 62.83 62.90 60.06
Atoms (fractional coordinates):
Ba1 0.5000 0.5000 0.5000
Pd1 0.0000 0.0000 0.0000
Cl1 0.0025 0.3930 0.7771
Cl2 0.8233 0.0013 0.7788
Cl3 0.6056 0.1760 0.2213
Cl4 0.1767 0.9987 0.2212
Cl5 0.9975 0.6070 0.2229
Cl6 0.3944 0.8240 0.7787

Summary:
The calculation puts the spin magnetization at 0.0 Bohr magnetons per cell. The formation energy from raw total energies comes out at -1123 meV/atom. The calculation puts the energy above the most stable polymorph in this dataset at 0.15 eV/f.u. As for the space group: P-1, No. 2.

BaPdCl4 | PBE-GGA | optimized geometry

Lattice parameters (Å, degrees): 5.6435 5.6435 12.4899 81.30 81.30 72.55
Atoms (fractional coordinates):
Ba1 0.5000 0.0000 0.5000
Ba2 0.0000 0.5000 0.0000
Pd1 0.2462 0.7538 0.2500
Pd2 0.7538 0.2462 0.7500
Cl1 0.0105 0.5007 0.7554
Cl2 0.1810 0.6862 0.4403
Cl3 0.8190 0.3138 0.5597
Cl4 0.5007 0.0105 0.2554
Cl5 0.4993 0.9895 0.7446
Cl6 0.3138 0.8190 0.0597
Cl7 0.6862 0.1810 0.9403
Cl8 0.9895 0.4993 0.2446

Summary:
The calculation puts the spin magnetization at 0.0 Bohr magnetons per cell. The formation energy from raw total energies comes out at -1396 meV/atom. The calculation puts the energy above the most stable polymorph in this dataset at 0.61 eV/f.u. As for the space group: C2/c, No. 15.

Ba2PdCl7 | PBE-GGA | optimized geometry

Lattice parameters (Å, degrees): 10.8306 11.3918 8.3594 74.41 49.62 61.62
Last column: magnetic moment on the atom in μB.
Atoms (fractional coordinates):
Ba1 0.8502 0.8546 0.8419  0.00
Ba2 0.4533 0.3546 0.3419  0.00
Ba3 0.5467 0.6454 0.6581  0.00
Ba4 0.1498 0.1454 0.1581  0.00
Pd1 0.8842 0.2500 0.7500  0.53
Pd2 0.1158 0.7500 0.2500  0.53
Cl1 0.7108 0.4664 0.9048  0.00
Cl2 0.9180 0.9664 0.4048  0.00
Cl3 0.3662 0.8354 0.0177  0.09
Cl4 0.1400 0.3045 0.4594  0.10
Cl5 0.3759 0.2500 0.7500  0.00
Cl6 0.7807 0.3354 0.5177  0.09
Cl7 0.9039 0.1955 0.0407  0.10
Cl8 0.0961 0.8045 0.9593  0.10
Cl9 0.2193 0.6646 0.4823  0.09
Cl10 0.6241 0.7500 0.2500  0.00
Cl11 0.8600 0.6955 0.5406  0.10
Cl12 0.6338 0.1646 0.9823  0.09
Cl13 0.0820 0.0336 0.5952  0.00
Cl14 0.2892 0.5336 0.0952  0.00

Summary:
The calculation puts the spin magnetization at 2.1 Bohr magnetons per cell. The formation energy from raw total energies comes out at -1571 meV/atom. For the density of states at the Fermi level, the calculation gives 0.51 states/eV per cell. As for the space group: C2/c, No. 15.

Ba4PdCl2 | PBE-GGA | optimized geometry

Lattice parameters (Å, degrees): 5.9906 5.9906 11.3178 74.65 74.65 90.00
Atoms (fractional coordinates):
Ba1 0.8338 0.8338 0.3324
Ba2 0.1662 0.1662 0.6676
Ba3 0.0000 0.5000 0.0000
Ba4 0.5000 0.0000 0.0000
Pd1 0.0000 0.0000 0.0000
Cl1 0.6915 0.6915 0.6170
Cl2 0.3085 0.3085 0.3830

Summary:
The calculation puts the spin magnetization at 0.0 Bohr magnetons per cell. The formation energy from raw total energies comes out at -864 meV/atom. For the density of states at the Fermi level, the calculation gives 5.61 states/eV per cell. As for the space group: I4/mmm, No. 139.

BaPdCl2 | PBE-GGA | optimized geometry

Lattice parameters (Å, degrees): 8.4048 8.4048 8.4048 30.15 30.15 30.15
Last column: magnetic moment on the atom in μB.
Atoms (fractional coordinates):
Ba1 0.0000 0.0000 0.0000  0.04
Pd1 0.5000 0.5000 0.5000  0.67
Cl1 0.8788 0.8788 0.8788  0.08
Cl2 0.1212 0.1212 0.1212  0.08

Summary:
The calculation puts the spin magnetization at 1.0 Bohr magnetons per cell. The formation energy from raw total energies comes out at -598 meV/atom. For the density of states at the Fermi level, the calculation gives 6.89 states/eV per cell. The calculation puts the energy above the most stable polymorph in this dataset at 3.12 eV/f.u. As for the space group: R-3m, No. 166.

Ba2PdCl | PBE-GGA | optimized geometry

Lattice parameters (Å, degrees): 5.6183 5.6183 5.6183 60.00 60.00 60.00
Atoms (fractional coordinates):
Ba1 0.2500 0.2500 0.2500
Ba2 0.7500 0.7500 0.7500
Pd1 0.5000 0.5000 0.5000
Cl1 0.0000 0.0000 0.0000

Summary:
The calculation puts the spin magnetization at 0.0 Bohr magnetons per cell. The formation energy from raw total energies comes out at -1032 meV/atom. For the density of states at the Fermi level, the calculation gives 3.01 states/eV per cell. The calculation puts the energy above the most stable polymorph in this dataset at 0.73 eV/f.u. As for the space group: Fm-3m, No. 225.